No. 1
VASP calculation (PBE) on Ru3BrN after structural relaxation.

a = 4.124 Å, b = 4.124 Å, c = 4.124 Å
α = 90.00°, β = 90.00°, γ = 90.00°
Atoms (fractional coordinates):
Ru: 0.000 0.000 0.500
Ru: 0.000 0.500 0.000
Ru: 0.500 0.000 0.000
Br: 0.500 0.500 0.500
N: 0.000 0.000 0.000

DOS at the Fermi energy ... 3.98 states/eV per cell
Size of the total moment ... 0.00 μB per formula unit
ΔE_f (raw) ... 83.7 kJ per mole of atoms
Space-group type ... Pm-3m (221)
Distance to the lowest polymorph of the same formula ... 0 meV/atom

No. 2
VASP calculation (PBE) on K2Ag5Te4 after structural relaxation.

a = 10.705 Å, b = 8.449 Å, c = 7.810 Å
α = 82.26°, β = 51.45°, γ = 46.29°
Atoms (fractional coordinates):
K: 0.160 0.160 0.840
K: 0.840 0.840 0.160
Ag: 0.000 0.000 0.500
Ag: 0.250 0.250 0.250
Ag: 0.500 0.500 0.000
Ag: 0.500 0.500 0.500
Ag: 0.750 0.750 0.750
Te: 0.231 0.517 0.483
Te: 0.483 0.769 0.231
Te: 0.517 0.231 0.769
Te: 0.769 0.483 0.517

DOS at the Fermi energy ... 4.13 states/eV per cell
Size of the total moment ... 0.00 μB per formula unit
ΔE_f (raw) ... -27.5 kJ per mole of atoms
Space-group type ... Fmmm (69)

No. 3
VASP calculation (PBE) on PdSe4 after structural relaxation.

a = 5.248 Å, b = 6.348 Å, c = 7.573 Å
α = 90.00°, β = 107.39°, γ = 90.00°
Atoms (fractional coordinates):
Pd: 0.000 0.000 0.000
Pd: 0.000 0.500 0.500
Se: 0.214 0.183 0.776
Se: 0.214 0.317 0.276
Se: 0.355 0.718 0.077
Se: 0.355 0.782 0.577
Se: 0.645 0.218 0.423
Se: 0.645 0.282 0.923
Se: 0.786 0.683 0.724
Se: 0.786 0.817 0.224

DOS at the Fermi energy ... 4.40 states/eV per cell
Size of the total moment ... 0.00 μB per formula unit
ΔE_f (raw) ... -2.6 kJ per mole of atoms
Space-group type ... P2_1/c (14)
Distance to the lowest polymorph of the same formula ... 0 meV/atom

No. 4
VASP calculation (PBE) on ScTaAl after structural relaxation.

a = 3.062 Å, b = 3.062 Å, c = 7.133 Å
α = 90.00°, β = 90.00°, γ = 120.00°
Atoms (fractional coordinates):
Sc: 0.000 0.000 0.000
Ta: 0.667 0.333 0.338
Al: 0.333 0.667 0.654

DOS at the Fermi energy ... 1.76 states/eV per cell
Size of the total moment ... 0.00 μB per formula unit
Space-group type ... P3m1 (156)
Distance to the lowest polymorph of the same formula ... 183 meV/atom
DFT formation energy ... -39 meV per atom

No. 5
VASP calculation (PBE) on SrZnMo2 after structural relaxation.

a = 9.193 Å, b = 9.193 Å, c = 9.193 Å
α = 21.00°, β = 21.00°, γ = 21.00°
Atoms (fractional coordinates):
Sr: 0.000 0.000 0.000
Zn: 0.237 0.237 0.237
Mo: 0.497 0.497 0.497
Mo: 0.771 0.771 0.771

DOS at the Fermi energy ... 3.47 states/eV per cell
Size of the total moment ... 0.00 μB per formula unit
Space-group type ... R3m (160)
DFT formation energy ... 587 meV per atom

No. 6
VASP calculation (PBE) on TbSmNi10 after structural relaxation.

a = 3.959 Å, b = 4.912 Å, c = 8.498 Å
α = 90.00°, β = 90.00°, γ = 90.00°
Atoms (fractional coordinates):
Tb: 0.000 0.000 0.000
Sm: 0.000 0.500 0.500
Ni: 0.000 0.000 0.331
Ni: 0.000 0.000 0.669
Ni: 0.000 0.500 0.165
Ni: 0.000 0.500 0.835
Ni: 0.500 0.000 0.500
Ni: 0.500 0.249 0.248
Ni: 0.500 0.249 0.752
Ni: 0.500 0.500 0.000
Ni: 0.500 0.751 0.248
Ni: 0.500 0.751 0.752

DOS at the Fermi energy ... 13.70 states/eV per cell
Size of the total moment ... 2.85 μB per formula unit
Space-group type ... Pmmm (47)
DFT formation energy ... -311 meV per atom

No. 7
VASP calculation (PBE) on Pm3PtPb after structural relaxation.

a = 7.470 Å, b = 7.470 Å, c = 7.470 Å
α = 90.00°, β = 90.00°, γ = 90.00°
Atoms (fractional coordinates):
Pm: 0.000 0.000 0.000
Pm: 0.269 0.269 0.269
Pm: 0.269 0.269 0.731
Pm: 0.269 0.731 0.269
Pm: 0.269 0.731 0.731
Pm: 0.731 0.269 0.269
Pm: 0.731 0.269 0.731
Pm: 0.731 0.731 0.269
Pm: 0.731 0.731 0.731
Pt: 0.000 0.500 0.500
Pt: 0.500 0.000 0.500
Pt: 0.500 0.500 0.000
Pb: 0.000 0.000 0.500
Pb: 0.000 0.500 0.000
Pb: 0.500 0.000 0.000

DOS at the Fermi energy ... 15.49 states/eV per cell
Size of the total moment ... 0.42 μB per formula unit
Space-group type ... Pm-3m (221)
Distance to the lowest polymorph of the same formula ... 0 meV/atom
DFT formation energy ... -564 meV per atom

No. 8
VASP calculation (PBE) on Tl3P after structural relaxation.

a = 3.995 Å, b = 6.840 Å, c = 8.721 Å
α = 90.00°, β = 90.00°, γ = 90.00°
Atoms (fractional coordinates):
Tl: 0.250 0.001 0.165
Tl: 0.250 0.250 0.556
Tl: 0.250 0.499 0.165
Tl: 0.750 0.501 0.835
Tl: 0.750 0.750 0.444
Tl: 0.750 0.999 0.835
P: 0.250 0.750 0.682
P: 0.750 0.250 0.318

DOS at the Fermi energy ... 2.68 states/eV per cell
Size of the total moment ... 0.00 μB per formula unit
Space-group type ... Pmmn (59)
DFT formation energy ... 116 meV per atom

No. 9
VASP calculation (PBE) on CsNaLiI2 after structural relaxation.

a = 7.103 Å, b = 7.103 Å, c = 6.220 Å
α = 90.00°, β = 90.00°, γ = 90.00°
Atoms (fractional coordinates):
Cs: 0.000 0.000 0.000
Na: 0.500 0.500 0.500
Li: 0.000 0.000 0.500
I: 0.000 0.500 0.000
I: 0.500 0.000 0.000

DOS at the Fermi energy ... 1.55 states/eV per cell
Size of the total moment ... 0.00 μB per formula unit
ΔE_f (raw) ... -36.7 kJ per mole of atoms
Space-group type ... P4/mmm (123)

No. 10
VASP calculation (PBE) on Pu6Te5Pb after structural relaxation.

a = 7.718 Å, b = 7.718 Å, c = 7.714 Å
α = 99.59°, β = 99.59°, γ = 120.00°
Atoms (fractional coordinates):
Pu: 0.082 0.417 0.750
Pu: 0.249 0.249 0.251
Pu: 0.417 0.082 0.750
Pu: 0.583 0.918 0.250
Pu: 0.751 0.751 0.749
Pu: 0.918 0.583 0.250
Te: 0.000 0.000 0.500
Te: 0.167 0.833 0.000
Te: 0.333 0.667 0.500
Te: 0.667 0.333 0.500
Te: 0.833 0.167 0.000
Pb: 0.500 0.500 0.000

DOS at the Fermi energy ... 70.52 states/eV per cell
Size of the total moment ... 33.83 μB per formula unit
ΔE_f (raw) ... -84.7 kJ per mole of atoms
Space-group type ... C2/m (12)

No. 11
VASP calculation (PBE) on Tb2NiBr2 after structural relaxation.

a = 11.130 Å, b = 11.130 Å, c = 11.130 Å
α = 20.22°, β = 20.22°, γ = 20.22°
Atoms (fractional coordinates):
Tb: 0.118 0.118 0.118
Tb: 0.882 0.882 0.882
Ni: 0.500 0.500 0.500
Br: 0.275 0.275 0.275
Br: 0.725 0.725 0.725

DOS at the Fermi energy ... 1.53 states/eV per cell
Size of the total moment ... 0.00 μB per formula unit
ΔE_f (raw) ... -110.3 kJ per mole of atoms
Space-group type ... R-3m (166)

No. 12
VASP calculation (PBE) on Sr3In after structural relaxation.

a = 7.597 Å, b = 7.597 Å, c = 7.597 Å
α = 147.55°, β = 59.50°, γ = 131.58°
Atoms (fractional coordinates):
Sr: 0.000 0.000 0.000
Sr: 0.296 0.500 0.797
Sr: 0.703 0.500 0.203
In: 0.500 0.000 0.500

DOS at the Fermi energy ... 4.65 states/eV per cell
Size of the total moment ... 0.65 μB per formula unit
Space-group type ... Imm2 (44)
DFT formation energy ... -179 meV per atom